Entry 1:
Below is CsPtAu3O4 after structural relaxation, with properties calculated at the PBE level.

POSCAR file:
```
CsPtAu3O4
1.0
5.707 0.000 0.000
0.000 5.707 0.000
0.000 0.000 5.707
Cs Pt Au O
1 1 3 4
direct
0.000 0.000 0.000
0.500 0.500 0.500
0.000 0.500 0.500
0.500 0.000 0.500
0.500 0.500 0.000
0.283 0.283 0.283
0.283 0.717 0.717
0.717 0.283 0.717
0.717 0.717 0.283
```

E: -33.5 eV per cell
Space group: No. 215


Entry 2:
Below is CsRbAu2O2 after structural relaxation, with properties calculated at the PBE level.

POSCAR file:
```
CsRbAu2O2
1.0
6.063 0.000 0.000
0.000 2.968 4.715
0.000 -2.968 4.715
Cs Rb Au O
1 1 2 2
direct
0.000 0.000 0.000
0.500 0.668 0.668
0.251 0.337 0.337
0.749 0.337 0.337
0.000 0.483 0.483
0.500 0.190 0.190
```

E: -23.0 eV per cell
Space group: No. 38


Entry 3:
Below is CsRbAu2O4 after structural relaxation, with properties calculated at the PBE level.

POSCAR file:
```
CsRbAu2O4
1.0
6.173 0.000 0.000
0.000 2.006 6.521
0.000 -2.006 6.521
Cs Rb Au O
1 1 2 4
direct
0.000 0.000 0.000
0.500 0.571 0.571
0.000 0.281 0.281
0.500 0.286 0.286
0.247 0.386 0.386
0.256 0.182 0.182
0.744 0.182 0.182
0.753 0.386 0.386
```

E: -34.0 eV per cell
Space group: No. 38


Entry 4:
Below is CsReAu3O4 after structural relaxation, with properties calculated at the PBE level.

POSCAR file:
```
CsReAu3O4
1.0
5.920 0.000 0.000
0.000 5.920 0.000
0.000 0.000 5.920
Cs Re Au O
1 1 3 4
direct
0.000 0.000 0.000
0.500 0.500 0.500
0.000 0.500 0.500
0.500 0.000 0.500
0.500 0.500 0.000
0.317 0.317 0.317
0.317 0.683 0.683
0.683 0.317 0.683
0.683 0.683 0.317
```

E: -44.9 eV per cell
Space group: No. 215


Entry 5:
Below is CsAuSO after structural relaxation, with properties calculated at the PBE level.

POSCAR file:
```
CsAuSO
1.0
5.819 0.000 0.000
0.000 7.864 0.000
-1.919 0.000 9.491
Cs Au S O
4 4 4 4
direct
0.098 0.216 0.424
0.098 0.284 0.924
0.902 0.716 0.076
0.902 0.784 0.576
0.472 0.510 0.734
0.472 0.990 0.234
0.528 0.010 0.766
0.528 0.490 0.266
0.333 0.650 0.399
0.333 0.850 0.899
0.667 0.150 0.101
0.667 0.350 0.601
0.247 0.660 0.827
0.247 0.840 0.327
0.753 0.160 0.673
0.753 0.340 0.173
```

E: -64.0 eV per cell
Space group: No. 14
Energy relative to the lowest polymorph listed for this composition: 0 meV per atom


Entry 6:
Below is Cs5AuSO2 after structural relaxation, with properties calculated at the PBE level.

POSCAR file:
```
Cs5AuSO2
1.0
5.865 0.000 0.000
0.000 5.865 0.000
0.000 0.000 9.671
Cs Au S O
5 1 1 2
direct
0.000 0.000 0.000
0.000 0.500 0.254
0.000 0.500 0.746
0.500 0.000 0.254
0.500 0.000 0.746
0.000 0.000 0.500
0.500 0.500 0.000
0.000 0.000 0.291
0.000 0.000 0.709
```

E: -30.4 eV per cell
Space group: No. 123